# PBE Nd6YCd5, optimized geometry
data_Nd6YCd5
_chemical_formula_sum 'Nd6 Y1 Cd5'
_symmetry_space_group_name_H-M 'P 1'
_symmetry_Int_Tables_number 1
_cell_length_a 5.441
_cell_length_b 7.863
_cell_length_c 9.531
_cell_angle_alpha 114.36
_cell_angle_beta 106.58
_cell_angle_gamma 90.00
loop_
_symmetry_equiv_pos_as_xyz
'x,y,z'
loop_
_atom_site_label
_atom_site_fract_x
_atom_site_fract_y
_atom_site_fract_z
Y1 0.000 0.000 0.000
Nd1 0.829 0.572 0.657
Nd2 0.829 0.085 0.657
Nd3 0.500 0.731 0.000
Nd4 0.500 0.269 0.000
Nd5 0.171 0.915 0.343
Nd6 0.171 0.428 0.343
Cd1 0.654 0.154 0.308
Cd2 0.332 0.332 0.663
Cd3 0.000 0.500 0.000
Cd4 0.668 0.668 0.337
Cd5 0.346 0.846 0.692
# - SG: Immm
# - Energy of formation: -0.2274 eV per atom



# PBE NaEr2Tl6, optimized geometry
data_NaEr2Tl6
_chemical_formula_sum 'Na1 Er2 Tl6'
_symmetry_space_group_name_H-M 'P 1'
_symmetry_Int_Tables_number 1
_cell_length_a 3.520
_cell_length_b 8.652
_cell_length_c 9.474
_cell_angle_alpha 117.17
_cell_angle_beta 90.11
_cell_angle_gamma 90.00
loop_
_symmetry_equiv_pos_as_xyz
'x,y,z'
loop_
_atom_site_label
_atom_site_fract_x
_atom_site_fract_y
_atom_site_fract_z
Na1 0.000 0.000 0.000
Er1 0.499 0.694 0.388
Er2 0.501 0.306 0.612
Tl1 0.999 0.347 0.321
Tl2 0.001 0.026 0.679
Tl3 0.001 0.653 0.679
Tl4 0.500 0.321 0.000
Tl5 0.999 0.974 0.321
Tl6 0.500 0.679 0.000
# - SG: C2/m
# - Energy of formation: -0.0673 eV per atom



# PBE Y2TePd, optimized geometry
data_Y2TePd
_chemical_formula_sum 'Y4 Te2 Pd2'
_symmetry_space_group_name_H-M 'P 1'
_symmetry_Int_Tables_number 1
_cell_length_a 7.744
_cell_length_b 7.744
_cell_length_c 6.662
_cell_angle_alpha 54.47
_cell_angle_beta 54.47
_cell_angle_gamma 90.00
loop_
_symmetry_equiv_pos_as_xyz
'x,y,z'
loop_
_atom_site_label
_atom_site_fract_x
_atom_site_fract_y
_atom_site_fract_z
Y1 0.594 0.125 0.250
Y2 0.156 0.625 0.250
Y3 0.375 0.406 0.750
Y4 0.875 0.844 0.750
Te1 0.000 0.000 0.000
Te2 0.750 0.250 0.500
Pd1 0.500 0.500 0.000
Pd2 0.250 0.750 0.500
# - SG: I-42d
# - E_form (uncorrected): -0.742 eV/atom



# PBE Na2TlPbI4, optimized geometry
data_Na2TlPbI4
_chemical_formula_sum 'Na2 Tl1 Pb1 I4'
_symmetry_space_group_name_H-M 'P 1'
_symmetry_Int_Tables_number 1
_cell_length_a 6.912
_cell_length_b 6.912
_cell_length_c 8.233
_cell_angle_alpha 114.82
_cell_angle_beta 114.82
_cell_angle_gamma 90.00
loop_
_symmetry_equiv_pos_as_xyz
'x,y,z'
loop_
_atom_site_label
_atom_site_fract_x
_atom_site_fract_y
_atom_site_fract_z
Na1 0.250 0.750 0.500
Na2 0.000 0.000 0.000
Tl1 0.500 0.500 0.000
Pb1 0.750 0.250 0.500
I1 0.003 0.503 0.006
I2 0.497 0.997 0.994
I3 0.764 0.764 0.527
I4 0.236 0.236 0.473
# - SG: I-4m2
# - E_form (uncorrected): -0.766 eV/atom



# PBE Ti2Nb5, optimized geometry
data_Ti2Nb5
_chemical_formula_sum 'Ti2 Nb5'
_symmetry_space_group_name_H-M 'P 1'
_symmetry_Int_Tables_number 1
_cell_length_a 3.310
_cell_length_b 3.310
_cell_length_c 11.669
_cell_angle_alpha 98.15
_cell_angle_beta 98.15
_cell_angle_gamma 90.00
loop_
_symmetry_equiv_pos_as_xyz
'x,y,z'
loop_
_atom_site_label
_atom_site_fract_x
_atom_site_fract_y
_atom_site_fract_z
Ti1 0.287 0.287 0.574
Ti2 0.713 0.713 0.426
Nb1 0.144 0.144 0.288
Nb2 0.573 0.573 0.146
Nb3 0.000 0.000 0.000
Nb4 0.427 0.427 0.854
Nb5 0.856 0.856 0.712
# - SG: I4/mmm
# - Energy of formation: 0.0094 eV per atom



# PBE LaTa2Os, optimized geometry
data_LaTa2Os
_chemical_formula_sum 'La1 Ta2 Os1'
_symmetry_space_group_name_H-M 'P 1'
_symmetry_Int_Tables_number 1
_cell_length_a 5.372
_cell_length_b 5.372
_cell_length_c 5.624
_cell_angle_alpha 73.27
_cell_angle_beta 73.27
_cell_angle_gamma 34.75
loop_
_symmetry_equiv_pos_as_xyz
'x,y,z'
loop_
_atom_site_label
_atom_site_fract_x
_atom_site_fract_y
_atom_site_fract_z
La1 0.520 0.520 0.492
Os1 0.272 0.272 0.154
Ta1 0.983 0.983 0.024
Ta2 0.725 0.725 0.830
# - SG: Cm
# - Energy of formation: 0.3294 eV per atom
# - Excess energy over the best structure of this formula in the dataset: 240 meV per atom



# PBE LaCu6P4, optimized geometry
data_LaCu6P4
_chemical_formula_sum 'La1 Cu6 P4'
_symmetry_space_group_name_H-M 'P 1'
_symmetry_Int_Tables_number 1
_cell_length_a 6.181
_cell_length_b 6.181
_cell_length_c 6.181
_cell_angle_alpha 95.44
_cell_angle_beta 116.91
_cell_angle_gamma 116.91
loop_
_symmetry_equiv_pos_as_xyz
'x,y,z'
loop_
_atom_site_label
_atom_site_fract_x
_atom_site_fract_y
_atom_site_fract_z
La1 0.000 0.000 0.000
Cu1 0.000 0.773 0.483
Cu2 0.000 0.483 0.773
Cu3 0.710 0.227 0.227
Cu4 0.500 0.000 0.500
Cu5 0.290 0.517 0.517
Cu6 0.500 0.500 0.000
P1 0.000 0.139 0.566
P2 0.573 0.434 0.434
P3 0.000 0.566 0.139
P4 0.427 0.861 0.861
# - SG: I-42m
# - Energy of formation: -0.2586 eV per atom



# PBE DySi3Pt3, optimized geometry
data_DySi3Pt3
_chemical_formula_sum 'Dy2 Si6 Pt6'
_symmetry_space_group_name_H-M 'P 1'
_symmetry_Int_Tables_number 1
_cell_length_a 6.591
_cell_length_b 6.591
_cell_length_c 6.591
_cell_angle_alpha 90.00
_cell_angle_beta 90.00
_cell_angle_gamma 90.00
loop_
_symmetry_equiv_pos_as_xyz
'x,y,z'
loop_
_atom_site_label
_atom_site_fract_x
_atom_site_fract_y
_atom_site_fract_z
Si1 0.000 0.250 0.500
Si2 0.000 0.750 0.500
Si3 0.500 0.000 0.750
Si4 0.750 0.500 0.000
Si5 0.500 0.000 0.250
Si6 0.250 0.500 0.000
Pt1 0.250 0.000 0.500
Pt2 0.000 0.500 0.250
Pt3 0.500 0.750 0.000
Pt4 0.750 0.000 0.500
Pt5 0.000 0.500 0.750
Pt6 0.500 0.250 0.000
Dy1 0.500 0.500 0.500
Dy2 0.000 0.000 0.000
# - SG: Pm-3n
# - E_form (uncorrected): -0.601 eV/atom



# PBE TlWAu, optimized geometry
data_TlWAu
_chemical_formula_sum 'Tl1 W1 Au1'
_symmetry_space_group_name_H-M 'P 1'
_symmetry_Int_Tables_number 1
_cell_length_a 4.569
_cell_length_b 4.569
_cell_length_c 4.569
_cell_angle_alpha 60.00
_cell_angle_beta 60.00
_cell_angle_gamma 60.00
loop_
_symmetry_equiv_pos_as_xyz
'x,y,z'
loop_
_atom_site_label
_atom_site_fract_x
_atom_site_fract_y
_atom_site_fract_z
Au1 0.500 0.500 0.500
Tl1 0.750 0.750 0.750
W1 0.000 0.000 0.000
# - SG: F-43m
# - Energy of formation: 1.4638 eV per atom
# - Excess energy over the best structure of this formula in the dataset: 803 meV per atom



# PBE AlMoRu, optimized geometry
data_AlMoRu
_chemical_formula_sum 'Al1 Mo1 Ru1'
_symmetry_space_group_name_H-M 'P 1'
_symmetry_Int_Tables_number 1
_cell_length_a 6.826
_cell_length_b 6.604
_cell_length_c 2.752
_cell_angle_alpha 82.76
_cell_angle_beta 73.67
_cell_angle_gamma 23.57
loop_
_symmetry_equiv_pos_as_xyz
'x,y,z'
loop_
_atom_site_label
_atom_site_fract_x
_atom_site_fract_y
_atom_site_fract_z
Ru1 0.336 0.336 0.664
Mo1 0.669 0.669 0.331
Al1 0.995 0.995 0.005
# - SG: Fmm2
# - Energy of formation: -0.0699 eV per atom



# PBE LaCd3Hg, optimized geometry
data_LaCd3Hg
_chemical_formula_sum 'La1 Cd3 Hg1'
_symmetry_space_group_name_H-M 'P 1'
_symmetry_Int_Tables_number 1
_cell_length_a 6.376
_cell_length_b 6.376
_cell_length_c 6.376
_cell_angle_alpha 90.00
_cell_angle_beta 90.00
_cell_angle_gamma 90.00
loop_
_symmetry_equiv_pos_as_xyz
'x,y,z'
loop_
_atom_site_label
_atom_site_fract_x
_atom_site_fract_y
_atom_site_fract_z
Cd1 0.000 0.500 0.000
Cd2 0.000 0.000 0.500
Cd3 0.500 0.000 0.000
Hg1 0.500 0.500 0.500
La1 0.000 0.000 0.000
# - SG: Pm-3m
# - Energy of formation: 0.6076 eV per atom
# - Excess energy over the best structure of this formula in the dataset: 865 meV per atom



Copy entry 11 word for word.
# PBE LaCd3Hg, optimized geometry
data_LaCd3Hg
_chemical_formula_sum 'La1 Cd3 Hg1'
_symmetry_space_group_name_H-M 'P 1'
_symmetry_Int_Tables_number 1
_cell_length_a 6.376
_cell_length_b 6.376
_cell_length_c 6.376
_cell_angle_alpha 90.00
_cell_angle_beta 90.00
_cell_angle_gamma 90.00
loop_
_symmetry_equiv_pos_as_xyz
'x,y,z'
loop_
_atom_site_label
_atom_site_fract_x
_atom_site_fract_y
_atom_site_fract_z
Cd1 0.000 0.500 0.000
Cd2 0.000 0.000 0.500
Cd3 0.500 0.000 0.000
Hg1 0.500 0.500 0.500
La1 0.000 0.000 0.000
# - SG: Pm-3m
# - Energy of formation: 0.6076 eV per atom
# - Excess energy over the best structure of this formula in the dataset: 865 meV per atom